(1)
First-principles (PBE) data for a geometry-optimized Th4IrRh2Se structure, as listed in Alexandria via LeMat-Bulk.

## Properties
As for the space group: P2/m, No. 10. As for the formation energy without anion corrections: -1.039 eV per atom. Its crystal system is monoclinic. Its calculated total energy is -8.130 eV/atom.

Cell lengths 4.095, 7.294, 7.289 Å; angles 71.18, 90.00, 90.00 degrees
Atoms (fractional coordinates):
1 Th 0.000 0.756 0.760
2 Th 0.000 0.244 0.240
3 Th 0.500 0.764 0.234
4 Th 0.500 0.236 0.766
5 Ir 0.500 0.500 0.000
6 Rh 0.000 0.000 0.000
7 Rh 0.500 0.000 0.500
8 Se 0.000 0.500 0.500



(2)
First-principles (PBE) data for a geometry-optimized Th6Ir3Rh2Se structure, as listed in Alexandria via LeMat-Bulk.

## Properties
As for the space group: C2/m, No. 12. As for the formation energy without anion corrections: -1.029 eV per atom. Its crystal system is monoclinic. Its calculated total energy is -8.470 eV/atom.

Cell lengths 4.115, 8.430, 9.319 Å; angles 103.27, 102.76, 90.00 degrees
Atoms (fractional coordinates):
1 Th 0.325 0.917 0.651
2 Th 0.666 0.583 0.331
3 Th 0.675 0.083 0.349
4 Th 0.002 0.268 0.004
5 Th 0.998 0.732 0.996
6 Th 0.334 0.417 0.669
7 Ir 0.500 0.500 0.000
8 Ir 0.838 0.168 0.676
9 Ir 0.162 0.832 0.324
10 Rh 0.833 0.669 0.666
11 Rh 0.167 0.331 0.334
12 Se 0.500 0.000 0.000



(3)
First-principles (PBE) data for a geometry-optimized Th8Ir3RhSe4 structure, as listed in Alexandria via LeMat-Bulk.

## Properties
As for the space group: C2/m, No. 12. As for the formation energy without anion corrections: -1.328 eV per atom. Its crystal system is monoclinic. Its calculated total energy is -8.030 eV/atom.

Cell lengths 8.248, 8.772, 8.248 Å; angles 118.04, 120.00, 90.00 degrees
Atoms (fractional coordinates):
1 Th 0.240 0.719 0.980
2 Th 0.241 0.719 0.481
3 Th 0.260 0.282 0.520
4 Th 0.739 0.719 0.980
5 Th 0.261 0.281 0.020
6 Th 0.740 0.718 0.480
7 Th 0.759 0.281 0.519
8 Th 0.760 0.281 0.020
9 Ir 0.500 0.500 0.000
10 Ir 0.500 0.500 0.500
11 Ir 0.000 0.500 0.500
12 Rh 0.000 0.500 0.000
13 Se 0.500 0.000 0.000
14 Se 0.500 0.000 0.500
15 Se 0.000 0.000 0.000
16 Se 0.000 0.000 0.500



(4)
First-principles (PBE) data for a geometry-optimized Th4IrRhSe2 structure, as listed in Alexandria via LeMat-Bulk.

## Properties
As for the space group: P2/m, No. 10. As for the formation energy without anion corrections: -1.265 eV per atom. Its crystal system is monoclinic. Its calculated total energy is -7.872 eV/atom.

Cell lengths 4.136, 7.710, 7.128 Å; angles 72.13, 90.00, 90.00 degrees
Atoms (fractional coordinates):
1 Th 0.000 0.719 0.758
2 Th 0.000 0.281 0.242
3 Th 0.500 0.719 0.260
4 Th 0.500 0.281 0.740
5 Ir 0.000 0.500 0.500
6 Rh 0.500 0.500 0.000
7 Se 0.000 0.000 0.000
8 Se 0.500 0.000 0.500



(5)
First-principles (PBE) data for a geometry-optimized Th4Ir2RhSe structure, as listed in Alexandria via LeMat-Bulk.

## Properties
As for the space group: P2/m, No. 10. As for the formation energy without anion corrections: -1.075 eV per atom. Its crystal system is monoclinic. Its calculated total energy is -8.355 eV/atom.

Cell lengths 4.120, 7.288, 7.296 Å; angles 71.24, 90.00, 90.00 degrees
Atoms (fractional coordinates):
1 Th 0.000 0.761 0.757
2 Th 0.000 0.239 0.243
3 Th 0.500 0.768 0.236
4 Th 0.500 0.232 0.764
5 Ir 0.000 0.000 0.000
6 Ir 0.500 0.000 0.500
7 Rh 0.500 0.500 0.000
8 Se 0.000 0.500 0.500



(6)
First-principles (PBE) data for a geometry-optimized Th6Ir2RhSe3 structure, as listed in Alexandria via LeMat-Bulk.

## Properties
As for the space group: C2/m, No. 12. As for the formation energy without anion corrections: -1.280 eV per atom. Its crystal system is monoclinic. Its calculated total energy is -7.951 eV/atom.

Cell lengths 4.142, 8.759, 9.659 Å; angles 107.64, 102.38, 90.00 degrees
Atoms (fractional coordinates):
1 Th 0.341 0.900 0.682
2 Th 0.674 0.566 0.348
3 Th 0.659 0.100 0.318
4 Th 0.008 0.234 0.016
5 Th 0.992 0.766 0.984
6 Th 0.326 0.434 0.652
7 Ir 0.834 0.668 0.668
8 Ir 0.166 0.332 0.332
9 Rh 0.500 0.000 0.000
10 Se 0.500 0.500 0.000
11 Se 0.833 0.167 0.667
12 Se 0.167 0.833 0.333